LiPrRh4O8 | the Alexandria database | PBE-GGA | optimized geometry; space-group type = No. 160; formation energy (no corrections) = -1.157 eV/atom; Fermi-level density of states = 6.09 states/eV per cell; mass density = 6.45 g/cm3
1.0
3.1765 1.8340 5.0600
-3.1765 1.8340 5.0600
0.0000 -3.6679 5.0600
Li Pr Rh O
1 1 4 8
Direct
0.0000 0.0000 0.0000
0.3805 0.3805 0.3805
0.4994 0.9981 0.9981
0.6182 0.6182 0.6182
0.9981 0.4994 0.9981
0.9981 0.9981 0.4994
0.2088 0.7472 0.7472
0.2289 0.2289 0.2289
0.2341 0.2341 0.8085
0.2341 0.8085 0.2341
0.7472 0.2088 0.7472
0.7472 0.7472 0.2088
0.7631 0.7631 0.7631
0.8085 0.2341 0.2341


Ba2AsBr | the Alexandria database | PBE-GGA | optimized geometry; space-group type = No. 123; formation energy (no corrections) = -1.501 eV/atom; Fermi-level density of states = 0.48 states/eV per cell; mass density = 4.65 g/cm3
1.0
4.8109 0.0000 0.0000
0.0000 4.8109 0.0000
0.0000 0.0000 6.6273
Ba As Br
2 1 1
Direct
0.0000 0.0000 0.0000
0.5000 0.5000 0.5000
0.0000 0.0000 0.5000
0.5000 0.5000 0.0000


Be3ZnRe | the Alexandria database | PBE-GGA | optimized geometry; space-group type = No. 221; Fermi-level density of states = 2.57 states/eV per cell; ΔE_f = 1.113 eV/atom; mass density = 5.99 g/cm3
1.0
4.2583 0.0000 0.0000
0.0000 4.2583 0.0000
0.0000 0.0000 4.2583
Be Zn Re
3 1 1
Direct
0.0000 0.0000 0.5000
0.0000 0.5000 0.0000
0.5000 0.0000 0.0000
0.5000 0.5000 0.5000
0.0000 0.0000 0.0000


GeSbSe2 | the Alexandria database | PBE-GGA | optimized geometry; space-group type = No. 225; formation energy (no corrections) = 0.098 eV/atom; Fermi-level density of states = 1.02 states/eV per cell; mass density = 6.55 g/cm3
1.0
0.0000 3.5477 3.5477
3.5477 0.0000 3.5477
3.5477 3.5477 0.0000
Ge Sb Se
1 1 2
Direct
0.0000 0.0000 0.0000
0.5000 0.5000 0.5000
0.2500 0.2500 0.2500
0.7500 0.7500 0.7500


Ni5Sb3I12 | the Alexandria database | PBE-GGA | optimized geometry; space-group type = No. 230; formation energy (no corrections) = 0.084 eV/atom; Fermi-level density of states = 36.96 states/eV per cell; mass density = 5.91 g/cm3
1.0
-8.4953 8.4953 8.4953
8.4953 -8.4953 8.4953
8.4953 8.4953 -8.4953
Ni Sb I
20 12 48
Direct
0.0000 0.0000 0.0000
0.0000 0.0000 0.5000
0.0000 0.5000 0.0000
0.0000 0.5000 0.5000
0.1250 0.7500 0.8750
0.1250 0.8750 0.2500
0.2500 0.1250 0.8750
0.2500 0.6250 0.3750
0.3750 0.2500 0.6250
0.3750 0.6250 0.7500
0.5000 0.0000 0.0000
0.5000 0.0000 0.5000
0.5000 0.5000 0.0000
0.5000 0.5000 0.5000
0.6250 0.3750 0.2500
0.6250 0.7500 0.3750
0.7500 0.3750 0.6250
0.7500 0.8750 0.1250
0.8750 0.1250 0.7500
0.8750 0.2500 0.1250
0.1250 0.2500 0.3750
0.1250 0.3750 0.7500
0.2500 0.3750 0.1250
0.2500 0.8750 0.6250
0.3750 0.1250 0.2500
0.3750 0.7500 0.1250
0.6250 0.2500 0.8750
0.6250 0.8750 0.7500
0.7500 0.1250 0.3750
0.7500 0.6250 0.8750
0.8750 0.6250 0.2500
0.8750 0.7500 0.6250
0.0229 0.2045 0.1185
0.0229 0.3184 0.9044
0.0860 0.7045 0.6816
0.0860 0.8815 0.4044
0.0956 0.6185 0.4140
0.0956 0.9771 0.6816
0.1185 0.0229 0.2045
0.1185 0.5956 0.9140
0.1816 0.2045 0.5860
0.1816 0.4771 0.5956
0.2045 0.1185 0.0229
0.2045 0.5860 0.1816
0.2955 0.3184 0.9140
0.2955 0.4771 0.3815
0.3184 0.9044 0.0229
0.3184 0.9140 0.2955
0.3815 0.2955 0.4771
0.3815 0.5860 0.9044
0.4044 0.0860 0.8815
0.4044 0.8184 0.5229
0.4140 0.0956 0.6185
0.4140 0.8184 0.7955
0.4771 0.3815 0.2955
0.4771 0.5956 0.1816
0.5229 0.4044 0.8184
0.5229 0.6185 0.7045
0.5860 0.1816 0.2045
0.5860 0.9044 0.3815
0.5956 0.1816 0.4771
0.5956 0.9140 0.1185
0.6185 0.4140 0.0956
0.6185 0.7045 0.5229
0.6816 0.0860 0.7045
0.6816 0.0956 0.9771
0.7045 0.5229 0.6185
0.7045 0.6816 0.0860
0.7955 0.4140 0.8184
0.7955 0.8815 0.9771
0.8184 0.5229 0.4044
0.8184 0.7955 0.4140
0.8815 0.4044 0.0860
0.8815 0.9771 0.7955
0.9044 0.0229 0.3184
0.9044 0.3815 0.5860
0.9140 0.1185 0.5956
0.9140 0.2955 0.3184
0.9771 0.6816 0.0956
0.9771 0.7955 0.8815


SbRu4 | the Alexandria database | PBE-GGA | optimized geometry; space-group type = No. 229; formation energy (no corrections) = 1.419 eV/atom; Fermi-level density of states = 9.15 states/eV per cell; mass density = 8.86 g/cm3
1.0
-2.9104 2.9104 2.9104
2.9104 -2.9104 2.9104
2.9104 2.9104 -2.9104
Sb Ru
1 4
Direct
0.0000 0.0000 0.0000
0.0000 0.0000 0.5000
0.0000 0.5000 0.0000
0.5000 0.0000 0.0000
0.5000 0.5000 0.5000


InN2OF | the Alexandria database | PBE-GGA | optimized geometry; space-group type = No. 123; formation energy (no corrections) = 1.315 eV/atom; Fermi-level density of states = 1.63 states/eV per cell; mass density = 3.58 g/cm3
1.0
4.3643 0.0000 0.0000
0.0000 4.3643 0.0000
0.0000 0.0000 4.3252
In N O F
1 2 1 1
Direct
0.0000 0.0000 0.0000
0.0000 0.5000 0.0000
0.5000 0.0000 0.0000
0.5000 0.5000 0.5000
0.0000 0.0000 0.5000


Mg3Al2Ag4 | the Alexandria database | PBE-GGA | optimized geometry; space-group type = No. 12; Fermi-level density of states = 2.27 states/eV per cell; ΔE_f = -0.155 eV/atom; mass density = 5.62 g/cm3
1.0
4.1697 -2.2772 0.0000
4.1697 2.2772 0.0000
-0.6955 0.0000 8.6922
Mg Al Ag
3 2 4
Direct
0.0000 0.0000 0.0000
0.3714 0.3714 0.2279
0.6286 0.6286 0.7721
0.2696 0.2696 0.5904
0.7304 0.7304 0.4096
0.0530 0.0530 0.3401
0.3165 0.3165 0.8960
0.6835 0.6835 0.1040
0.9470 0.9470 0.6599


Question: Among the records above, which one has the highest Fermi-level density of states?
Answer: Ni5Sb3I12